A plane-wave DFT calculation with GGA-PBE was carried out for a relaxed structure of NdSmEr3Th.

Energy of formation   34 meV per atom
VASP energy   -60.78 eV/cell
Total moment   0.000 μB per atom
DOS at the Fermi energy   1.40 states/eV per atom

Cell: 5.060 7.954 10.720 Å, 116.40 90.00 90.00°
Atoms (fractional coordinates):
1 Er 0.750 0.369 0.543
2 Er 0.250 0.631 0.457
3 Er 0.250 0.622 0.791
4 Er 0.750 0.378 0.209
5 Er 0.750 0.876 0.043
6 Er 0.250 0.124 0.957
7 Th 0.250 0.122 0.623
8 Th 0.750 0.878 0.377
9 Nd 0.250 0.123 0.293
10 Nd 0.750 0.877 0.707
11 Sm 0.750 0.373 0.871
12 Sm 0.250 0.627 0.129

---

A plane-wave DFT calculation with GGA-PBE was carried out for a relaxed structure of Nd4Sm2ErTh.

Energy of formation   136 meV per atom
VASP energy   -39.40 eV/cell
Total moment   0.000 μB per atom
DOS at the Fermi energy   2.00 states/eV per atom

Cell: 6.088 6.082 9.504 Å, 50.30 90.00 90.00°
Atoms (fractional coordinates):
1 Sm 0.000 0.000 0.000
2 Sm 0.500 0.000 0.500
3 Nd 0.500 0.754 0.246
4 Nd 0.000 0.254 0.246
5 Nd 0.500 0.246 0.754
6 Nd 0.000 0.746 0.754
7 Er 0.000 0.500 0.500
8 Th 0.500 0.500 0.000

---

A plane-wave DFT calculation with GGA-PBE was carried out for a relaxed structure of Nd2SmEr2Th2.

Energy of formation   141 meV per atom
VASP energy   -37.24 eV/cell
Total moment   0.000 μB per atom
DOS at the Fermi energy   1.74 states/eV per atom

Cell: 5.955 6.945 12.947 Å, 142.60 90.00 115.39°
Atoms (fractional coordinates):
1 Th 0.844 0.689 0.630
2 Th 0.156 0.311 0.370
3 Er 0.563 0.126 0.918
4 Er 0.437 0.874 0.082
5 Nd 0.266 0.532 0.185
6 Nd 0.734 0.468 0.815
7 Sm 0.000 0.000 0.500

---

- Which value of total moment does entry 2 give?
  0.000 μB per atom